First-principles (PBE with a Hubbard U) data for a relaxed structure of KVO2, as listed in Alexandria via LeMat-Bulk.

Geometry as CIF:
```
data_KVO2
_cell_length_a 4.051
_cell_length_b 17.727
_cell_length_c 3.988
_cell_angle_alpha 90.00
_cell_angle_beta 90.00
_cell_angle_gamma 90.00
_symmetry_space_group_name_H-M 'C m c m'
_symmetry_Int_Tables_number 63
_symmetry_space_group_name_Hall '-C 2c 2'
loop_
_atom_site_label
_atom_site_type_symbol
_atom_site_fract_x
_atom_site_fract_y
_atom_site_fract_z
K1 K 0.000 0.179 0.250
V1 V 0.000 0.435 0.250
O1 O 0.000 0.335 0.250
O2 O 0.000 0.453 0.750
```

- Total DFT energy (no corrections): -6.301 eV/atom
- Crystal system: orthorhombic